Material: Ca5BiPd2
Method: DFT, GGA-PBE
State: relaxed

Cell and atoms, written as extended XYZ:
```
16
Lattice="-6.5898 -0.8191 -4.3956 1.1771 -7.8704 -0.2981 -1.2499 3.5226 8.4311" Properties=species:S:1:pos:R:3 pbc="T T T"
Pd -5.0221 -5.6431 -4.0281
Bi -4.6844 -4.7558 0.6953
Pd -1.4355 -7.1846 -1.9042
Ca -0.4993 -1.6387 5.8648
Ca -2.1878 2.1597 5.2801
Pd -0.3905 -3.0463 -0.6656
Ca 0.0000 0.0000 0.0000
Ca -3.5977 -3.3620 3.6173
Ca -2.7063 -4.3447 -2.3468
Bi -1.9781 -0.4111 3.0421
Ca -4.4747 -7.3266 -1.5428
Ca -6.1633 -3.5282 -2.1274
Ca -5.2862 0.4364 3.0326
Ca -1.3763 -5.6033 0.7048
Ca -3.0649 -1.8049 0.1201
Pd -3.9772 -1.5049 -2.7895
```

## Properties
Uncorrected energy in eV per atom: -3.712
Formation energy from the elements in eV per formula unit: -5.42
D(E_F) in states/eV/f.u.: 5.023
Total moment in Bohr magnetons per cell: 0.00

***

Material: Ba2CaIn2Sb4
Method: DFT, GGA-PBE
State: relaxed

Cell and atoms, written as extended XYZ:
```
9
Lattice="4.8103 0.0000 0.0000 0.0000 8.0180 0.2031 -2.4051 -2.9510 8.0463" Properties=species:S:1:pos:R:3 pbc="T T T"
Ba 0.0000 3.8269 2.1759
Ba 2.4051 1.2401 6.0735
In 0.0000 -1.8990 5.3963
Ca 0.0000 0.0000 0.0000
Sb 0.0000 -0.7483 8.0159
Sb 2.4051 4.6289 4.8412
Sb 0.0000 0.4382 3.4081
Sb 2.4051 5.8153 0.2335
In 2.4051 6.9660 2.8531
```

## Properties
Uncorrected energy in eV per atom: -3.799
D(E_F) in states/eV/f.u.: 1.372
Total moment in Bohr magnetons per cell: 0.00
Formation energy from raw total energies in eV/atom: -0.708

***

Material: Pu4PtCl5
Method: DFT, GGA-PBE
State: relaxed

Cell and atoms, written as extended XYZ:
```
10
Lattice="3.8472 0.0000 -0.9598 -0.4266 7.2839 -1.7099 0.3116 0.1759 9.4395" Properties=species:S:1:pos:R:3 pbc="T T T"
Cl 0.8101 0.8128 3.2473
Cl 0.5402 4.2818 2.1652
Pt 1.9236 0.0000 -0.4799
Pu 2.3812 2.2193 1.3545
Pu -0.0524 5.9727 -0.2100
Pu 3.7846 1.4871 6.9797
Cl 2.9221 6.6470 3.5225
Pu 1.3510 5.2405 5.4153
Cl 1.7103 3.6420 -1.3348
Cl 3.1920 3.1780 4.6045
```

## Properties
Uncorrected energy in eV per atom: -8.622
D(E_F) in states/eV/f.u.: 50.442
Total moment in Bohr magnetons per cell: 0.33
Formation energy from raw total energies in eV/atom: -1.361

***

Which value of total moment does entry 1 give? 0.00 Bohr magnetons per cell

***

What did the second record say?
Material: Ba2CaIn2Sb4
Method: DFT, GGA-PBE
State: relaxed

Cell and atoms, written as extended XYZ:
```
9
Lattice="4.8103 0.0000 0.0000 0.0000 8.0180 0.2031 -2.4051 -2.9510 8.0463" Properties=species:S:1:pos:R:3 pbc="T T T"
Ba 0.0000 3.8269 2.1759
Ba 2.4051 1.2401 6.0735
In 0.0000 -1.8990 5.3963
Ca 0.0000 0.0000 0.0000
Sb 0.0000 -0.7483 8.0159
Sb 2.4051 4.6289 4.8412
Sb 0.0000 0.4382 3.4081
Sb 2.4051 5.8153 0.2335
In 2.4051 6.9660 2.8531
```

## Properties
Uncorrected energy in eV per atom: -3.799
D(E_F) in states/eV/f.u.: 1.372
Total moment in Bohr magnetons per cell: 0.00
Formation energy from raw total energies in eV/atom: -0.708

***

What is the formula in the second record? Ba2CaIn2Sb4